Record 1
# AcAlBi4 GGA-PBE optimized geometry
# - crystal system = cubic
# - ΔH_f (0 K) (meV/atom) = -31
data_AcAlBi4
_chemical_formula_sum 'Ac4 Al4 Bi16'
_cell_length_a 9.3206
_cell_length_b 9.3206
_cell_length_c 9.3206
_cell_angle_alpha 90.00
_cell_angle_beta 90.00
_cell_angle_gamma 90.00
_space_group_name_H-M_alt 'F -4 3 m'
_space_group_IT_number 216
_space_group_name_Hall 'F -4 2 3'
loop_
_atom_site_label
_atom_site_fract_x
_atom_site_fract_y
_atom_site_fract_z
Ac1 0.0000 0.0000 0.0000
Al1 0.2500 0.2500 0.2500
Bi1 0.1238 0.1238 0.6238



Record 2
# Hg3WCl GGA-PBE optimized geometry
# - E_form (uncorrected) (eV/atom) = 0.827
# - crystal system = cubic
# - E above lowest polymorph (meV/atom) = 0
data_Hg3WCl
_chemical_formula_sum 'Hg3 W1 Cl1'
_cell_length_a 5.4885
_cell_length_b 5.4885
_cell_length_c 5.4885
_cell_angle_alpha 90.00
_cell_angle_beta 90.00
_cell_angle_gamma 90.00
_space_group_name_H-M_alt 'P m -3 m'
_space_group_IT_number 221
_space_group_name_Hall '-P 4 2 3'
loop_
_atom_site_label
_atom_site_fract_x
_atom_site_fract_y
_atom_site_fract_z
Hg1 0.0000 0.0000 0.5000
W1 0.0000 0.0000 0.0000
Cl1 0.5000 0.5000 0.5000



Record 3
# LiAg3Se GGA-PBE optimized geometry
# - E_form (uncorrected) (eV/atom) = 0.392
# - crystal system = cubic
# - E above lowest polymorph (meV/atom) = 108
data_LiAg3Se
_chemical_formula_sum 'Li1 Ag3 Se1'
_cell_length_a 4.5843
_cell_length_b 4.5843
_cell_length_c 4.5843
_cell_angle_alpha 90.00
_cell_angle_beta 90.00
_cell_angle_gamma 90.00
_space_group_name_H-M_alt 'P m -3 m'
_space_group_IT_number 221
_space_group_name_Hall '-P 4 2 3'
loop_
_atom_site_label
_atom_site_fract_x
_atom_site_fract_y
_atom_site_fract_z
Li1 0.0000 0.0000 0.0000
Ag1 0.0000 0.0000 0.5000
Se1 0.5000 0.5000 0.5000



Record 4
# CrPSe2Br GGA-PBE optimized geometry
# - E_form (uncorrected) (eV/atom) = 1.703
# - crystal system = tetragonal
# - E above lowest polymorph (meV/atom) = 1170
data_CrPSe2Br
_chemical_formula_sum 'Cr1 P1 Se2 Br1'
_cell_length_a 5.0975
_cell_length_b 5.0975
_cell_length_c 4.7840
_cell_angle_alpha 90.00
_cell_angle_beta 90.00
_cell_angle_gamma 90.00
_space_group_name_H-M_alt 'P 4/m m m'
_space_group_IT_number 123
_space_group_name_Hall '-P 4 2'
loop_
_atom_site_label
_atom_site_fract_x
_atom_site_fract_y
_atom_site_fract_z
Cr1 0.0000 0.0000 0.0000
P1 0.5000 0.5000 0.0000
Se1 0.0000 0.5000 0.5000
Br1 0.5000 0.5000 0.5000



Record 5
# Sc3Al2Os GGA-PBE optimized geometry
# - crystal system = orthorhombic
# - ΔH_f (0 K) (meV/atom) = -369
data_Sc3Al2Os
_chemical_formula_sum 'Sc12 Al8 Os4'
_cell_length_a 8.0843
_cell_length_b 10.4176
_cell_length_c 5.5084
_cell_angle_alpha 90.00
_cell_angle_beta 90.00
_cell_angle_gamma 90.00
_space_group_name_H-M_alt 'C m c m'
_space_group_IT_number 63
_space_group_name_Hall '-C 2c 2'
loop_
_atom_site_label
_atom_site_fract_x
_atom_site_fract_y
_atom_site_fract_z
Sc1 0.0000 0.0800 0.2500
Sc2 0.1802 0.2320 0.7500
Al1 0.1696 0.5000 0.0000
Os1 0.0000 0.3258 0.2500



Record 6
# PuHfPb2 GGA-PBE optimized geometry
# - crystal system = trigonal
# - ΔH_f (0 K) (meV/atom) = 196
# - E above lowest polymorph (meV/atom) = 169
data_PuHfPb2
_chemical_formula_sum 'Pu3 Hf3 Pb6'
_cell_length_a 3.3138
_cell_length_b 3.3138
_cell_length_c 35.1302
_cell_angle_alpha 90.00
_cell_angle_beta 90.00
_cell_angle_gamma 120.00
_space_group_name_H-M_alt 'R -3 m'
_space_group_IT_number 166
_space_group_name_Hall '-R 3 2"'
loop_
_atom_site_label
_atom_site_fract_x
_atom_site_fract_y
_atom_site_fract_z
Pu1 0.0000 0.0000 0.0000
Hf1 0.0000 0.0000 0.5000
Pb1 0.0000 0.0000 0.0929



Record 7
# KCoAs2 GGA-PBE optimized geometry
# - crystal system = orthorhombic
# - ΔH_f (0 K) (meV/atom) = -47
# - E above lowest polymorph (meV/atom) = 195
data_KCoAs2
_chemical_formula_sum 'K1 Co1 As2'
_cell_length_a 3.4407
_cell_length_b 3.5488
_cell_length_c 7.1299
_cell_angle_alpha 90.00
_cell_angle_beta 90.00
_cell_angle_gamma 90.00
_space_group_name_H-M_alt 'P m m 2'
_space_group_IT_number 25
_space_group_name_Hall 'P 2 -2'
loop_
_atom_site_label
_atom_site_fract_x
_atom_site_fract_y
_atom_site_fract_z
K1 0.0000 0.0000 0.0000
Co1 0.5000 0.0000 0.5263
As1 0.0000 0.5000 0.6059
As2 0.5000 0.5000 0.3144



Record 8
# ScTiMn2 GGA-PBE optimized geometry
# - crystal system = tetragonal
# - ΔH_f (0 K) (meV/atom) = -2
data_ScTiMn2
_chemical_formula_sum 'Sc1 Ti1 Mn2'
_cell_length_a 4.3933
_cell_length_b 4.3933
_cell_length_c 3.0862
_cell_angle_alpha 90.00
_cell_angle_beta 90.00
_cell_angle_gamma 90.00
_space_group_name_H-M_alt 'P 4/m m m'
_space_group_IT_number 123
_space_group_name_Hall '-P 4 2'
loop_
_atom_site_label
_atom_site_fract_x
_atom_site_fract_y
_atom_site_fract_z
Sc1 0.0000 0.0000 0.0000
Ti1 0.5000 0.5000 0.0000
Mn1 0.0000 0.5000 0.5000



Record 9
# MgCu3Se GGA-PBE optimized geometry
# - E_form (uncorrected) (eV/atom) = 0.967
# - crystal system = cubic
# - E above lowest polymorph (meV/atom) = 1128
data_MgCu3Se
_chemical_formula_sum 'Mg1 Cu3 Se1'
_cell_length_a 4.5965
_cell_length_b 4.5965
_cell_length_c 4.5965
_cell_angle_alpha 90.00
_cell_angle_beta 90.00
_cell_angle_gamma 90.00
_space_group_name_H-M_alt 'P m -3 m'
_space_group_IT_number 221
_space_group_name_Hall '-P 4 2 3'
loop_
_atom_site_label
_atom_site_fract_x
_atom_site_fract_y
_atom_site_fract_z
Mg1 0.0000 0.0000 0.0000
Cu1 0.0000 0.0000 0.5000
Se1 0.5000 0.5000 0.5000



Record 10
# Ho2SbS GGA-PBE optimized geometry
# - E_form (uncorrected) (eV/atom) = -1.493
# - crystal system = trigonal
# - E above lowest polymorph (meV/atom) = 3
data_Ho2SbS
_chemical_formula_sum 'Ho6 Sb3 S3'
_cell_length_a 4.1327
_cell_length_b 4.1327
_cell_length_c 20.1747
_cell_angle_alpha 90.00
_cell_angle_beta 90.00
_cell_angle_gamma 120.00
_space_group_name_H-M_alt 'P -3 m 1'
_space_group_IT_number 164
_space_group_name_Hall '-P 3 2"'
loop_
_atom_site_label
_atom_site_fract_x
_atom_site_fract_y
_atom_site_fract_z
Ho1 0.0000 0.0000 0.2216
Ho2 0.3333 0.6667 0.4071
Ho3 0.3333 0.6667 0.9279
Sb1 0.0000 0.0000 0.5000
Sb2 0.3333 0.6667 0.6861
S1 0.0000 0.0000 0.0000
S2 0.3333 0.6667 0.1472



Record 11
# Na3Pa3MnN8 GGA-PBE optimized geometry
# - E_form (uncorrected) (eV/atom) = -0.767
# - crystal system = monoclinic
data_Na3Pa3MnN8
_chemical_formula_sum 'Na6 Pa6 Mn2 N16'
_cell_length_a 11.7814
_cell_length_b 6.7933
_cell_length_c 6.9270
_cell_angle_alpha 90.00
_cell_angle_beta 124.48
_cell_angle_gamma 90.00
_space_group_name_H-M_alt 'C 1 2/m 1'
_space_group_IT_number 12
_space_group_name_Hall '-C 2y'
loop_
_atom_site_label
_atom_site_fract_x
_atom_site_fract_y
_atom_site_fract_z
Na1 0.0000 0.0000 0.0000
Na2 0.2500 0.2500 0.0000
Pa1 0.0000 0.5000 0.5000
Pa2 0.2500 0.2500 0.5000
Mn1 0.0000 0.0000 0.5000
N1 0.0182 0.2317 0.3240
N2 0.2130 0.0000 0.6758
N3 0.2327 0.5000 0.6975



Record 12
# CaLa4Y5 GGA-PBE optimized geometry
# - crystal system = monoclinic
# - ΔH_f (0 K) (meV/atom) = 37
data_CaLa4Y5
_chemical_formula_sum 'Ca2 La8 Y10'
_cell_length_a 19.0566
_cell_length_b 3.6679
_cell_length_c 10.3884
_cell_angle_alpha 90.00
_cell_angle_beta 106.27
_cell_angle_gamma 90.00
_space_group_name_H-M_alt 'C 1 2/m 1'
_space_group_IT_number 12
_space_group_name_Hall '-C 2y'
loop_
_atom_site_label
_atom_site_fract_x
_atom_site_fract_y
_atom_site_fract_z
Ca1 0.0000 0.0000 0.0000
La1 0.1011 0.5000 0.7955
La2 0.2017 0.0000 0.6021
Y1 0.0000 0.0000 0.5000
Y2 0.1031 0.5000 0.3083
Y3 0.2015 0.0000 0.1006



Repeat the twelfth record exactly.
# CaLa4Y5 GGA-PBE optimized geometry
# - crystal system = monoclinic
# - ΔH_f (0 K) (meV/atom) = 37
data_CaLa4Y5
_chemical_formula_sum 'Ca2 La8 Y10'
_cell_length_a 19.0566
_cell_length_b 3.6679
_cell_length_c 10.3884
_cell_angle_alpha 90.00
_cell_angle_beta 106.27
_cell_angle_gamma 90.00
_space_group_name_H-M_alt 'C 1 2/m 1'
_space_group_IT_number 12
_space_group_name_Hall '-C 2y'
loop_
_atom_site_label
_atom_site_fract_x
_atom_site_fract_y
_atom_site_fract_z
Ca1 0.0000 0.0000 0.0000
La1 0.1011 0.5000 0.7955
La2 0.2017 0.0000 0.6021
Y1 0.0000 0.0000 0.5000
Y2 0.1031 0.5000 0.3083
Y3 0.2015 0.0000 0.1006